{
  "formula": "Ba2MgO",
  "functional": "PBE",
  "state": "relaxed",
  "formation_energy_uncorrected_ev_per_atom": -0.95,
  "spacegroup": "R-3m",
  "total_magnetization_mub_per_cell": 0.000,
  "mass_density_g_cm3": 3.83,
  "cell": [[-3.671, -1.196, -0.386], [-0.784, -3.787, -0.315], [-2.357, -2.347, 10.187]],
  "species": ["Ba", "Ba", "O", "Mg"],
  "fractional_positions": [[0.117, 0.117, 0.649], [0.883, 0.883, 0.351], [0.500, 0.500, 0.500], [0.000, 0.000, 0.000]]
}

---

{
  "formula": "BaMgO2",
  "functional": "PBE",
  "state": "relaxed",
  "formation_energy_uncorrected_ev_per_atom": -2.56,
  "spacegroup": "P4/nmm",
  "total_magnetization_mub_per_cell": 0.000,
  "mass_density_g_cm3": 5.12,
  "cell": [[-3.549, 0.937, -1.545], [0.625, -2.558, -2.987], [-3.369, -5.771, 4.238]],
  "species": ["O", "O", "O", "O", "Ba", "Ba", "Mg", "Mg"],
  "fractional_positions": [[0.250, 0.750, 0.500], [0.250, 0.250, 0.161], [0.750, 0.750, 0.839], [0.750, 0.250, 0.500], [0.750, 0.750, 0.176], [0.250, 0.250, 0.824], [0.750, 0.750, 0.579], [0.250, 0.250, 0.421]]
}

---

{
  "formula": "BaMgO2",
  "functional": "PBE",
  "state": "relaxed",
  "formation_energy_uncorrected_ev_per_atom": -2.44,
  "spacegroup": "I-42d",
  "total_magnetization_mub_per_cell": 0.000,
  "mass_density_g_cm3": 4.72,
  "cell": [[-2.547, -4.970, -1.767], [-1.009, -1.467, 5.580], [-5.291, -1.366, 1.758]],
  "species": ["O", "O", "O", "O", "Ba", "Ba", "Mg", "Mg"],
  "fractional_positions": [[0.375, 0.460, 0.750], [0.875, 0.790, 0.750], [0.210, 0.625, 0.250], [0.540, 0.125, 0.250], [0.750, 0.250, 0.500], [0.000, 0.000, 0.000], [0.250, 0.750, 0.500], [0.500, 0.500, 0.000]]
}

---

{
  "formula": "Ba4Mg2O",
  "functional": "PBE",
  "state": "relaxed",
  "formation_energy_uncorrected_ev_per_atom": -0.62,
  "spacegroup": "I4/mmm",
  "total_magnetization_mub_per_cell": 0.001,
  "mass_density_g_cm3": 3.60,
  "cell": [[5.529, 0.000, 0.000], [0.000, 5.529, 0.000], [2.764, 2.764, 9.267]],
  "species": ["O", "Ba", "Ba", "Ba", "Ba", "Mg", "Mg"],
  "fractional_positions": [[0.000, 0.000, 0.000], [0.000, 0.500, 0.000], [0.500, 0.000, 0.000], [0.162, 0.162, 0.677], [0.838, 0.838, 0.323], [0.635, 0.635, 0.729], [0.365, 0.365, 0.271]]
}

---

{
  "formula": "Ba3MgO4",
  "functional": "PBE",
  "state": "relaxed",
  "formation_energy_uncorrected_ev_per_atom": -2.41,
  "spacegroup": "Pnma",
  "total_magnetization_mub_per_cell": 0.000,
  "mass_density_g_cm3": 5.44,
  "cell": [[-3.135, 5.082, -5.300], [0.359, -5.764, -5.739], [-8.636, -2.878, 2.350]],
  "species": ["O", "O", "O", "O", "O", "O", "O", "O", "O", "O", "O", "O", "O", "O", "O", "O", "Ba", "Ba", "Ba", "Ba", "Ba", "Ba", "Ba", "Ba", "Ba", "Ba", "Ba", "Ba", "Mg", "Mg", "Mg", "Mg"],
  "fractional_positions": [[0.513, 0.139, 0.250], [0.487, 0.861, 0.750], [0.802, 0.254, 0.750], [0.199, 0.974, 0.546], [0.801, 0.026, 0.454], [0.801, 0.026, 0.046], [0.301, 0.474, 0.046], [0.199, 0.974, 0.954], [0.302, 0.246, 0.750], [0.699, 0.526, 0.954], [0.301, 0.474, 0.454], [0.987, 0.639, 0.750], [0.013, 0.361, 0.250], [0.198, 0.746, 0.250], [0.699, 0.526, 0.546], [0.698, 0.754, 0.250], [0.524, 0.243, 0.536], [0.476, 0.757, 0.464], [0.288, 0.559, 0.750], [0.788, 0.941, 0.750], [0.212, 0.059, 0.250], [0.976, 0.743, 0.464], [0.712, 0.441, 0.250], [0.976, 0.743, 0.036], [0.476, 0.757, 0.036], [0.024, 0.257, 0.536], [0.024, 0.257, 0.964], [0.524, 0.243, 0.964], [0.720, 0.000, 0.250], [0.280, 0.000, 0.750], [0.220, 0.500, 0.250], [0.780, 0.500, 0.750]]
}

---

{
  "formula": "Ba2MgO",
  "functional": "PBE",
  "state": "relaxed",
  "formation_energy_uncorrected_ev_per_atom": -1.15,
  "spacegroup": "I-42d",
  "total_magnetization_mub_per_cell": 0.000,
  "mass_density_g_cm3": 3.37,
  "cell": [[7.882, 0.000, 0.000], [0.000, 7.882, 0.000], [3.941, 3.941, 4.990]],
  "species": ["Mg", "Mg", "O", "O", "Ba", "Ba", "Ba", "Ba"],
  "fractional_positions": [[0.000, 0.000, 0.000], [0.750, 0.250, 0.500], [0.250, 0.750, 0.500], [0.500, 0.500, 0.000], [0.506, 0.125, 0.250], [0.244, 0.625, 0.250], [0.875, 0.756, 0.750], [0.375, 0.494, 0.750]]
}

---

{
  "formula": "BaMgO2",
  "functional": "PBE",
  "state": "relaxed",
  "formation_energy_uncorrected_ev_per_atom": -2.32,
  "spacegroup": "Amm2",
  "total_magnetization_mub_per_cell": 0.000,
  "mass_density_g_cm3": 4.77,
  "cell": [[3.377, 0.000, 0.000], [0.000, 3.597, 0.000], [-1.688, 0.000, 5.552]],
  "species": ["O", "O", "Ba", "Mg"],
  "fractional_positions": [[0.903, 0.000, 0.806], [0.200, 0.500, 0.401], [0.583, 0.000, 0.166], [0.819, 0.500, 0.639]]
}

---

{
  "formula": "BaMg2O",
  "functional": "PBE",
  "state": "relaxed",
  "formation_energy_uncorrected_ev_per_atom": -0.97,
  "spacegroup": "Fd-3m",
  "total_magnetization_mub_per_cell": 0.000,
  "mass_density_g_cm3": 3.17,
  "cell": [[6.686, 0.000, 0.000], [0.000, 6.686, 0.000], [3.343, 3.343, 4.733]],
  "species": ["Mg", "Mg", "Mg", "Mg", "O", "O", "Ba", "Ba"],
  "fractional_positions": [[0.375, 0.625, 0.250], [0.875, 0.625, 0.750], [0.375, 0.625, 0.750], [0.375, 0.125, 0.250], [0.500, 0.500, 0.000], [0.250, 0.750, 0.500], [0.750, 0.250, 0.500], [0.000, 0.000, 0.000]]
}

---

{
  "formula": "BaMgO2",
  "functional": "PBE",
  "state": "relaxed",
  "formation_energy_uncorrected_ev_per_atom": -1.51,
  "spacegroup": "R-3m",
  "total_magnetization_mub_per_cell": 0.414,
  "mass_density_g_cm3": 4.88,
  "cell": [[1.940, 0.000, 6.742], [-0.970, 1.680, 6.742], [-0.970, -1.680, 6.742]],
  "species": ["O", "O", "Ba", "Mg"],
  "fractional_positions": [[0.116, 0.116, 0.116], [0.884, 0.884, 0.884], [0.000, 0.000, 0.000], [0.500, 0.500, 0.500]]
}

---

{
  "formula": "BaMg3O4",
  "functional": "PBE",
  "state": "relaxed",
  "formation_energy_uncorrected_ev_per_atom": -1.98,
  "spacegroup": "Pm-3m",
  "total_magnetization_mub_per_cell": 0.000,
  "mass_density_g_cm3": 4.01,
  "cell": [[-0.900, 0.718, -4.704], [-0.324, -4.785, -0.669], [-4.747, 0.190, 0.937]],
  "species": ["O", "O", "O", "O", "Ba", "Mg", "Mg", "Mg"],
  "fractional_positions": [[0.000, 0.000, 0.500], [0.500, 0.000, 0.000], [0.000, 0.500, 0.000], [0.500, 0.500, 0.500], [0.000, 0.000, 0.000], [0.500, 0.500, 0.000], [0.500, 0.000, 0.500], [0.000, 0.500, 0.500]]
}

---

{
  "formula": "BaMgO",
  "functional": "PBE",
  "state": "relaxed",
  "formation_energy_uncorrected_ev_per_atom": -1.20,
  "spacegroup": "Fmm2",
  "total_magnetization_mub_per_cell": 0.000,
  "mass_density_g_cm3": 3.59,
  "cell": [[-3.048, -1.047, -0.882], [-1.769, -2.419, 2.657], [-4.256, 4.846, 2.629]],
  "species": ["Ba", "O", "Mg"],
  "fractional_positions": [[0.372, 0.000, 0.256], [0.020, 0.000, 0.960], [0.608, 0.000, 0.784]]
}

---

{
  "formula": "BaMgO2",
  "functional": "PBE",
  "state": "relaxed",
  "formation_energy_uncorrected_ev_per_atom": -2.08,
  "spacegroup": "R-3m",
  "total_magnetization_mub_per_cell": 0.000,
  "mass_density_g_cm3": 3.58,
  "cell": [[2.317, 0.000, 6.434], [-1.159, 2.007, 6.434], [-1.159, -2.007, 6.434]],
  "species": ["O", "O", "Mg", "Ba"],
  "fractional_positions": [[0.095, 0.095, 0.095], [0.905, 0.905, 0.905], [0.000, 0.000, 0.000], [0.500, 0.500, 0.500]]
}